The following is a GGA-PBEsol calculation of a relaxed structure of TlFe2Te2, from Alexandria.

Structure (extended XYZ):
```
5
Lattice="-1.970 1.970 7.004 1.970 -1.970 7.004 1.970 1.970 -7.004" Properties=species:S:1:pos:R:3 pbc="T T T"
Tl 0.000 0.000 0.000
Fe 1.970 0.000 3.502
Fe 0.000 1.970 3.502
Te 0.000 0.000 4.953
Te 0.000 0.000 9.056
```

Results
Raw total energy = -0.4017 Ry per atom
Energy relative to the elements, uncorrected = 57 meV per atom
Total magnetization = 0.000 μB/f.u.

---

The following is a GGA-PBEsol calculation of a relaxed structure of TlFeTe4, from Alexandria.

Structure (extended XYZ):
```
6
Lattice="0.000 4.452 4.452 4.452 0.000 4.452 4.452 4.452 0.000" Properties=species:S:1:pos:R:3 pbc="T T T"
Tl 0.000 0.000 0.000
Fe 2.226 2.226 2.226
Te 5.558 3.345 3.345
Te 3.345 5.558 3.345
Te 3.345 3.345 5.558
Te 5.558 5.558 5.558
```

Results
Raw total energy = -0.2606 Ry per atom
Energy relative to the elements, uncorrected = 737 meV per atom
Total magnetization = 3.859 μB/f.u.

---

The following is a GGA-PBEsol calculation of a relaxed structure of FeTeW2, from Alexandria.

Structure (extended XYZ):
```
4
Lattice="3.057 0.000 0.000 0.000 3.057 0.000 0.000 0.000 6.686" Properties=species:S:1:pos:R:3 pbc="T T T"
Fe 0.000 0.000 0.000
Te 0.000 0.000 3.343
W 1.529 1.529 1.479
W 1.529 1.529 5.207
```

Results
Raw total energy = -0.6943 Ry per atom
Energy relative to the elements, uncorrected = 580 meV per atom
Total magnetization = 1.396 μB/f.u.

---

Question: Among the records above, which one has the lowest energy relative to the elements, uncorrected?
Answer: TlFe2Te2